(1)
Pm6Y8Ho: optimized geometry, PBE.

a b c (Å): 9.1346 9.1346 20.9372
angles (deg): 90.00 90.00 120.00
Space group R-3 (No. 148, hexagonal axes)
Symmetry-distinct sites (fractional):
Pm  0.0630  0.2488  0.2094 (multiplicity 18)
Y  0.0000  0.0000  0.0771 (multiplicity 6)
Y  0.0815  0.5560  0.3073 (multiplicity 18)
Ho  0.0000  0.0000  0.5000 (multiplicity 3)

Calculated values
Crystal system: trigonal
DFT formation energy (meV per atom): 119
Energy (eV per atom): -5.534
M_tot (Bohr magnetons per cell): 0.000
DOS(E_F) (states/eV per cell): 69.8



(2)
Pm5Y3Ho2: optimized geometry, PBE.

a b c (Å): 10.735 14.860 10.026
angles (deg): 90.00 122.25 90.00
Space group C2/c (No. 15)
Symmetry-distinct sites (fractional):
Pm  0.000  0.016  0.250 (multiplicity 4)
Pm  0.000  0.227  0.250 (multiplicity 4)
Pm  0.000  0.476  0.750 (multiplicity 4)
Pm  0.241  0.372  0.233 (multiplicity 8)
Y  0.000  0.271  0.750 (multiplicity 4)
Y  0.157  0.376  0.555 (multiplicity 8)
Ho  0.150  0.126  0.058 (multiplicity 8)

Calculated values
Crystal system: monoclinic
DFT formation energy (meV per atom): 186
Energy (eV per atom): -5.044
M_tot (Bohr magnetons per cell): 0.000
DOS(E_F) (states/eV per cell): 73.0



(3)
Pm2YHo4: optimized geometry, PBE.

a b c (Å): 16.865 3.547 8.755
angles (deg): 90.00 120.04 90.00
Space group C2/m (No. 12)
Symmetry-distinct sites (fractional):
Pm  0.070  0.000  0.432 (multiplicity 4)
Y  0.000  0.000  0.000 (multiplicity 2)
Ho  0.146  0.500  0.844 (multiplicity 4)
Ho  0.205  0.500  0.293 (multiplicity 4)

Calculated values
Crystal system: monoclinic
DFT formation energy (meV per atom): 49
Relative energy among the computed polymorphs (meV per atom): 0
Energy (eV per atom): -4.847
M_tot (Bohr magnetons per cell): 0.000
DOS(E_F) (states/eV per cell): 23.0